[1]
An optimized crystal structure of Pt5Au, computed with GGA-PBEsol.

## Properties
DFT formation energy = 336 meV/atom
Density of states at the Fermi level = 1.18 states/eV/atom
Size of the total moment = 0.0 Bohr magnetons per cell
Crystal system = cubic
Uncorrected energy = -6.12 eV/atom
Distance to the lowest polymorph of the same formula = 246 meV per atom

Unit cell a=7.3141 b=7.3141 c=7.3141 alpha=90.00 beta=90.00 gamma=90.00
With the nearest neighbours (Å) after each atom.
Space group F-43m (No. 216)
Unique sites:
1 Pt 0.0000 0.0000 0.0000 x4  12 Pt 3.03, 4 Au 3.17
2 Pt 0.1251 0.1251 0.3749 x16  6 Pt 2.58-2.59
3 Au 0.2500 0.2500 0.7500 x4  16 Pt 3.03-3.17

---

[2]
An optimized crystal structure of Pt5Au, computed with GGA-PBEsol.

## Properties
DFT formation energy = 93 meV/atom
Density of states at the Fermi level = 1.75 states/eV/atom
Size of the total moment = 0.0 Bohr magnetons per cell
Crystal system = orthorhombic
Uncorrected energy = -6.36 eV/atom
Distance to the lowest polymorph of the same formula = 3 meV per atom

Unit cell a=4.7025 b=2.7355 c=14.3387 alpha=90.00 beta=90.00 gamma=90.00
With the nearest neighbours (Å) after each atom.
Space group Amm2 (No. 38)
Unique sites:
1 Pt 0.0000 0.0000 0.0000 x2  8 Pt 2.73-2.83, 4 Au 2.85
2 Pt 0.0000 0.0000 0.3306 x2  10 Pt 2.74-2.84, 2 Au 2.83
3 Pt 0.0000 0.0000 0.6647 x2  12 Pt 2.73-2.83
4 Pt 0.5000 0.0000 0.1096 x2  10 Pt 2.71-2.83, 2 Au 2.78
5 Pt 0.5000 0.0000 0.7729 x2  10 Pt 2.71-2.84, 2 Au 2.77
6 Au 0.5000 0.0000 0.4410 x2  2 Au 2.74, 10 Pt 2.77-2.85

---

[3]
An optimized crystal structure of Pt7Au, computed with GGA-PBEsol.

## Properties
DFT formation energy = 29 meV/atom
Density of states at the Fermi level = 1.46 states/eV/atom
Size of the total moment = 0.0 Bohr magnetons per cell
Crystal system = cubic
Uncorrected energy = -6.55 eV/atom

Unit cell a=7.8670 b=7.8670 c=7.8670 alpha=90.00 beta=90.00 gamma=90.00
With the nearest neighbours (Å) after each atom.
Space group Fm-3m (No. 225)
Unique sites:
1 Pt 0.0000 0.0000 0.0000 x4  12 Pt 2.78
2 Pt 0.0000 0.2500 0.2500 x24  10 Pt 2.78, 2 Au 2.78
3 Au 0.0000 0.0000 0.5000 x4  12 Pt 2.78

---

[4]
An optimized crystal structure of Pt4Au, computed with GGA-PBEsol.

## Properties
DFT formation energy = 53 meV/atom
Density of states at the Fermi level = 1.62 states/eV/atom
Size of the total moment = 0.0 Bohr magnetons per cell
Crystal system = tetragonal
Uncorrected energy = -6.30 eV/atom

Unit cell a=6.2556 b=6.2556 c=3.9237 alpha=90.00 beta=90.00 gamma=90.00
With the nearest neighbours (Å) after each atom.
Space group I4/m (No. 87)
Unique sites:
1 Pt 0.1016 0.3031 0.0000 x8  9 Pt 2.77-2.83, 3 Au 2.78-2.80
2 Au 0.0000 0.0000 0.5000 x2  12 Pt 2.78-2.80

---

[5]
An optimized crystal structure of Pt2Au3, computed with GGA-PBEsol.

## Properties
DFT formation energy = 21 meV/atom
Density of states at the Fermi level = 0.48 states/eV/atom
Size of the total moment = 0.0 Bohr magnetons per cell
Crystal system = trigonal
Uncorrected energy = -5.12 eV/atom

Unit cell a=2.8145 b=2.8145 c=35.1534 alpha=90.00 beta=90.00 gamma=120.00
With the nearest neighbours (Å) after each atom.
Space group R-3m (No. 166, hexagonal axes)
Unique sites:
1 Pt 0.0000 0.0000 0.1005 x6  6 Pt 2.81, 6 Au 2.84-2.85
2 Au 0.0000 0.0000 0.2993 x6  9 Au 2.81-2.89, 3 Pt 2.85
3 Au 0.0000 0.0000 0.5000 x3  6 Au 2.81, 6 Pt 2.84

---

[6]
An optimized crystal structure of PtAu5, computed with GGA-PBEsol.

## Properties
DFT formation energy = 33 meV/atom
Density of states at the Fermi level = 0.43 states/eV/atom
Size of the total moment = 0.0 Bohr magnetons per cell
Crystal system = orthorhombic
Uncorrected energy = -4.40 eV/atom
Distance to the lowest polymorph of the same formula = 3 meV per atom

Unit cell a=4.7579 b=2.8557 c=14.6681 alpha=90.00 beta=90.00 gamma=90.00
With the nearest neighbours (Å) after each atom.
Space group Amm2 (No. 38)
Unique sites:
1 Pt 0.0000 0.0000 0.0000 x2  10 Au 2.80-2.89, 2 Pt 2.86
2 Au 0.0000 0.0000 0.3356 x2  2 Pt 2.80, 10 Au 2.86-2.89
3 Au 0.0000 0.0000 0.6658 x2  2 Pt 2.82, 10 Au 2.86-2.90
4 Au 0.5000 0.0000 0.1123 x2  10 Au 2.80-2.88, 2 Pt 2.89
5 Au 0.5000 0.0000 0.4480 x2  8 Au 2.80-2.89, 4 Pt 2.88
6 Au 0.5000 0.0000 0.7794 x2  12 Au 2.84-2.90

---

- The lowest DFT formation energy belongs to which entry?
  Pt2Au3

---

What did the first record say?
An optimized crystal structure of Pt5Au, computed with GGA-PBEsol.

## Properties
DFT formation energy = 336 meV/atom
Density of states at the Fermi level = 1.18 states/eV/atom
Size of the total moment = 0.0 Bohr magnetons per cell
Crystal system = cubic
Uncorrected energy = -6.12 eV/atom
Distance to the lowest polymorph of the same formula = 246 meV per atom

Unit cell a=7.3141 b=7.3141 c=7.3141 alpha=90.00 beta=90.00 gamma=90.00
With the nearest neighbours (Å) after each atom.
Space group F-43m (No. 216)
Unique sites:
1 Pt 0.0000 0.0000 0.0000 x4  12 Pt 3.03, 4 Au 3.17
2 Pt 0.1251 0.1251 0.3749 x16  6 Pt 2.58-2.59
3 Au 0.2500 0.2500 0.7500 x4  16 Pt 3.03-3.17

---

- Number 6 is which compound?
  PtAu5